# 1
DFT (GGA-PBE) results for a geometry-optimized La2TeAs4 structure.

Results
**Crystal system**: tetragonal
**ΔE_f (raw)**: -0.323 eV per atom
**Calculated volume**: 418.5 Å³/cell

Unit cell a=5.245 b=5.245 c=15.212 alpha=90.00 beta=90.00 gamma=90.00
Space group I4/mmm (No. 139)
One atom of each set of equivalent atoms:
La  0.000  0.000  0.130
Te  0.000  0.000  0.500
As  0.000  0.000  0.319
As  0.000  0.500  0.000

***

# 2
DFT (GGA-PBE) results for a geometry-optimized Sm12Tm7Cd structure.

Results
**Crystal system**: cubic
**Formation energy**: 0.702 eV/atom
**Calculated volume**: 1498.8 Å³/cell

Unit cell a=11.444 b=11.444 c=11.444 alpha=90.00 beta=90.00 gamma=90.00
Space group Im-3m (No. 229)
One atom of each set of equivalent atoms:
Sm  0.000  0.233  0.233
Tm  0.000  0.000  0.500
Tm  0.250  0.250  0.250
Cd  0.000  0.000  0.000

***

# 3
DFT (GGA-PBE) results for a geometry-optimized TbY4Se6 structure.

Results
**Crystal system**: orthorhombic
**ΔE_f (raw)**: -1.833 eV per atom
**Calculated volume**: 1114.6 Å³/cell

Unit cell a=3.998 b=13.419 c=20.778 alpha=90.00 beta=90.00 gamma=90.00
Space group Cmcm (No. 63)
One atom of each set of equivalent atoms:
Tb  0.000  0.153  0.250
Y  0.000  0.089  0.627
Y  0.000  0.359  0.538
Se  0.000  0.000  0.000
Se  0.000  0.191  0.750
Se  0.000  0.269  0.091
Se  0.000  0.447  0.667